AlCd3Bi (PBE, optimized geometry); total magnetic moment = 0.000 μB per formula unit; crystal system = cubic; relative energy among the computed polymorphs = 0 meV/atom; theoretical density = 6.62 g/cm³; space-group type = Pm-3m; E = -8.38 eV per formula unit; ΔH_f (0 K) = 2.0 eV/f.u.; DOS(E_F) = 0.951 states/eV per atom
1.0
-5.097 -0.896 0.805
0.829 -0.070 5.171
-0.874 5.160 0.210
Al Bi Cd
1 1 3
Cartesian
0.000 0.000 0.000
-2.571 2.097 3.093
0.415 -0.035 2.586
-0.437 2.580 0.105
-2.549 -0.448 0.403



AlCu2Re (PBE, optimized geometry); total magnetic moment = 0.000 μB per formula unit; crystal system = trigonal; theoretical density = 10.34 g/cm³; space-group type = R3m; E = -24.21 eV per formula unit; ΔH_f (0 K) = 0.2 eV/f.u.; DOS(E_F) = 0.424 states/eV per atom
1.0
-5.065 -5.938 -3.671
-3.706 -7.544 -1.934
-5.915 -6.183 -1.090
Re Al Cu
1 1 2
Cartesian
-7.352 -9.844 -3.352
-10.978 -14.699 -5.005
-14.685 -19.663 -6.695
-3.705 -4.960 -1.689